The following is a DFT calculation (GGA+U) of a relaxed structure of YNiF5.

Summary:
**Offset from the most stable computed form**: 0.000 eV per atom
**Total energy**: -5.89 eV/atom

Cell: 5.5974 5.5974 7.5889 Å, 109.63 109.63 72.43°
With the nearest neighbours (Å) after each atom.
Atoms (fractional coordinates):
1 Y 0.0546 0.9454 0.7500  7 F 2.15-2.37
2 Y 0.9454 0.0546 0.2500  7 F 2.15-2.37
3 Ni 0.5000 0.5000 0.0000  6 F 1.98-2.07
4 Ni 0.5000 0.5000 0.5000  6 F 1.98-2.07
5 F 0.1802 0.8004 0.0347  1 Ni 2.07, 1 Y 2.27
6 F 0.1996 0.8198 0.4653  1 Ni 2.07, 1 Y 2.27
7 F 0.2353 0.2849 0.3761  1 Ni 1.98, 1 Y 2.15
8 F 0.2849 0.2353 0.8761  1 Ni 1.98, 1 Y 2.15
9 F 0.3974 0.6026 0.7500  2 Ni 2.01
10 F 0.6026 0.3974 0.2500  2 Ni 2.01
11 F 0.7151 0.7647 0.1239  1 Ni 1.98, 1 Y 2.15
12 F 0.7647 0.7151 0.6239  1 Ni 1.98, 1 Y 2.15
13 F 0.8004 0.1802 0.5347  1 Ni 2.07, 1 Y 2.27
14 F 0.8198 0.1996 0.9653  1 Ni 2.07, 1 Y 2.27